[1]
The following is a PBE-GGA calculation of a relaxed NaNb3Ag crystal, from Alexandria.

## Properties
* space group: Pm-3m
* polymorph energy (0 for the lowest one): 0.255 eV per atom
* formation energy: 2119.3 meV/atom

Unit cell a=4.6947 b=4.6947 c=4.6947 alpha=90.00 beta=90.00 gamma=90.00
Atoms (fractional coordinates):
Na1 0.0000 0.0000 0.0000
Nb1 0.0000 0.5000 0.0000
Ag1 0.5000 0.5000 0.5000
Nb2 0.5000 0.0000 0.0000
Nb3 0.0000 0.0000 0.5000

[2]
The following is a PBE-GGA calculation of a relaxed NaNb3Ag crystal, from Alexandria.

## Properties
* space group: Pm-3m
* polymorph energy (0 for the lowest one): 0.000 eV per atom
* formation energy: 1864.3 meV/atom

Unit cell a=5.0429 b=5.0429 c=5.0429 alpha=90.00 beta=90.00 gamma=90.00
Atoms (fractional coordinates):
Nb1 0.5000 0.0000 0.0000
Ag1 0.0000 0.0000 0.0000
Na1 0.5000 0.5000 0.5000
Nb2 0.0000 0.0000 0.5000
Nb3 0.0000 0.5000 0.0000

[3]
The following is a PBE-GGA calculation of a relaxed NaNbAg2O4 crystal, from Alexandria.

## Properties
* space group: I-42m
* formation energy without anion corrections: -11.65 eV per formula unit

Unit cell a=5.1603 b=5.1603 c=6.2446 alpha=114.38 beta=114.38 gamma=90.05
Atoms (fractional coordinates):
O1 0.1810 0.1810 0.7907
O2 0.6097 0.6097 0.7907
Ag1 0.2501 0.7501 0.5002
O3 0.8187 0.3904 0.2091
O4 0.3904 0.8187 0.2091
Nb1 0.5000 0.5000 0.9999
Na1 0.0003 0.0003 0.0006
Ag2 0.7501 0.2501 0.5002

[4]
The following is a PBE-GGA calculation of a relaxed Na2NbAgS4 crystal, from Alexandria.

## Properties
* space group: I-42m
* formation energy without anion corrections: -6.72 eV per formula unit

Unit cell a=6.4196 b=6.1356 c=6.1356 alpha=74.12 beta=58.46 gamma=58.46
Atoms (fractional coordinates):
S1 0.8908 0.0000 0.6418
S2 0.1092 0.3582 0.0000
Na1 0.0000 0.5000 0.5000
Na2 0.5000 0.5000 0.5000
S3 0.4675 0.6418 0.0000
Nb1 0.5000 0.0000 0.0000
Ag1 0.0000 0.0000 0.0000
S4 0.5325 0.0000 0.3582

[5]
The following is a PBE-GGA calculation of a relaxed NaNb2AgSb crystal, from Alexandria.

## Properties
* space group: P4/mmm
* formation energy without anion corrections: 9.17 eV per formula unit

Unit cell a=4.7636 b=4.7636 c=4.9787 alpha=90.00 beta=90.00 gamma=90.00
Atoms (fractional coordinates):
Nb1 0.5000 0.0000 0.0000
Ag1 0.5000 0.5000 0.5000
Nb2 0.0000 0.5000 0.0000
Sb1 0.0000 0.0000 0.5000
Na1 0.0000 0.0000 0.0000

[6]
The following is a PBE-GGA calculation of a relaxed Na3NbAg2Se6 crystal, from Alexandria.

## Properties
* space group: C2/m
* formation energy without anion corrections: -6.80 eV per formula unit

Unit cell a=7.0277 b=7.0277 c=7.1174 alpha=98.19 beta=98.19 gamma=122.27
Atoms (fractional coordinates):
Se1 0.6065 0.9160 0.7914
Se2 0.2182 0.2182 0.7639
Se3 0.3935 0.0840 0.2086
Se4 0.7818 0.7818 0.2361
Ag1 0.3389 0.6611 0.0000
Ag2 0.6611 0.3389 0.0000
Na1 0.5000 0.5000 0.5000
Na2 0.1830 0.8170 0.5000
Nb1 0.0000 0.0000 0.0000
Na3 0.8170 0.1830 0.5000
Se5 0.0840 0.3935 0.2086
Se6 0.9160 0.6065 0.7914

[7]
The following is a PBE-GGA calculation of a relaxed NaNbAg2Se4 crystal, from Alexandria.

## Properties
* space group: I222
* formation energy without anion corrections: -4.03 eV per formula unit

Unit cell a=6.8211 b=6.5858 c=6.5858 alpha=72.79 beta=58.81 gamma=58.81
Atoms (fractional coordinates):
Na1 0.5000 0.0000 0.0000
Se1 0.1255 0.8672 0.4979
Se2 0.4906 0.1328 0.5021
Nb1 0.5000 0.5000 0.5000
Se3 0.5094 0.4979 0.8672
Se4 0.8745 0.5021 0.1328
Ag1 0.0000 0.6869 0.3131
Ag2 0.0000 0.3131 0.6869

[8]
The following is a PBE-GGA calculation of a relaxed Na2NbAgSe4 crystal, from Alexandria.

## Properties
* space group: I-42m
* formation energy without anion corrections: -5.95 eV per formula unit

Unit cell a=6.6190 b=6.4001 c=6.4001 alpha=74.49 beta=58.86 gamma=58.86
Atoms (fractional coordinates):
Na1 0.0000 0.5000 0.5000
Se1 0.5349 0.0000 0.3626
Ag1 0.0000 0.0000 0.0000
Nb1 0.5000 0.0000 0.0000
Se2 0.4651 0.6374 0.0000
Se3 0.1025 0.3626 0.0000
Se4 0.8975 0.0000 0.6374
Na2 0.5000 0.5000 0.5000

Number 1: total magnetization 0.000 μB per formula unit, calculated volume 20.7 Å³/atom. Number 2: total magnetization 1.435 μB per formula unit, calculated volume 25.6 Å³/atom. Number 3: total magnetization 0.000 μB per formula unit, calculated volume 16.9 Å³/atom. Number 4: total magnetization 0.000 μB per formula unit, calculated volume 21.9 Å³/atom. Number 5: total magnetization 0.000 μB per formula unit, calculated volume 22.6 Å³/atom. Number 6: total magnetization 0.000 μB per formula unit, calculated volume 23.7 Å³/atom. Number 7: total magnetization 0.000 μB per formula unit, calculated volume 27.0 Å³/atom. Number 8: total magnetization 0.000 μB per formula unit, calculated volume 24.8 Å³/atom.